DFT (GGA-PBE) results for a geometry-optimized PuTe2Pd9 structure.

Output
ΔE_f (raw) ... -0.304 eV per atom
Total energy ... -5.92 eV per atom
Magnetization ... 4.524 μB/f.u.

Lattice parameters (Å, degrees): 4.124 4.124 12.262 90.00 90.00 90.00
Space group P4/mmm (No. 123)
Inequivalent atoms, fractional coordinates:
Pu (0.000, 0.000, 0.000) (multiplicity 1)
Te (0.000, 0.000, 0.338) (multiplicity 2)
Pd (0.000, 0.500, 0.166) (multiplicity 4)
Pd (0.000, 0.500, 0.500) (multiplicity 2)
Pd (0.500, 0.500, 0.000) (multiplicity 1)
Pd (0.500, 0.500, 0.334) (multiplicity 2)